1.
Below is crystalline LiPmNiPb at its relaxed geometry, with properties calculated at the GGA-PBE level.

Geometry as POSCAR:
```
LiPmNiPb
1.0
0.000 3.380 3.380
3.380 0.000 3.380
3.380 3.380 0.000
Li Pm Ni Pb
1 1 1 1
Direct
0.000 0.000 0.000
0.750 0.750 0.750
0.500 0.500 0.500
0.250 0.250 0.250
```

Output
The formation energy from the elements is -0.396 eV/atom.

2.
Below is crystalline LiNiPtPb2 at its relaxed geometry, with properties calculated at the GGA-PBE level.

Geometry as POSCAR:
```
LiNiPtPb2
1.0
4.975 0.000 0.000
0.000 4.975 0.000
0.000 0.000 4.273
Li Ni Pt Pb
1 1 1 2
Direct
0.000 0.000 0.000
0.500 0.500 0.500
0.000 0.000 0.500
0.000 0.500 0.000
0.500 0.000 0.000
```

Output
The formation energy from the elements is 0.567 eV/atom.

3.
Below is crystalline LiSiNi2Pb at its relaxed geometry, with properties calculated at the GGA-PBE level.

Geometry as POSCAR:
```
LiSiNi2Pb
1.0
4.868 0.000 0.000
0.000 4.868 0.000
0.000 0.000 5.265
Li Si Ni Pb
1 1 2 1
Direct
0.000 0.000 0.000
0.500 0.500 0.000
0.000 0.500 0.500
0.500 0.000 0.500
0.500 0.500 0.500
```

Output
Its uncorrected formation energy is 1.078 eV/atom.

no.,raw total energy (eV/atom),N(E_F) (states/eV/f.u.)
1,-4.434,0.037
2,-3.663,3.657
3,-3.443,6.811